1.
The following is a DFT calculation (PBE) of a relaxed structure of CsNa2LiAu.

Summary:
Formation energy from the elements   -0.02 eV/atom
Space-group type   No. 123

Lattice parameters (Å, degrees): 5.8640 5.8640 5.1655 90.00 90.00 90.00
Sites, in units of the cell vectors:
Cs (0.0000, 0.0000, 0.0000)
Na (0.0000, 0.5000, 0.5000)
Na (0.5000, 0.0000, 0.5000)
Li (0.5000, 0.5000, 0.5000)
Au (0.5000, 0.5000, 0.0000)

***

2.
The following is a DFT calculation (PBE) of a relaxed structure of CsLiAuO2.

Summary:
Formation energy (no corrections)   -5.07 eV per formula unit
Space-group type   No. 67

Lattice parameters (Å, degrees): 6.7882 6.7882 5.5386 90.00 90.00 133.51
Sites, in units of the cell vectors:
Cs (0.2500, 0.7500, 0.7737)
Cs (0.7500, 0.2500, 0.2263)
Li (0.2500, 0.2500, 0.0000)
Li (0.7500, 0.7500, 0.0000)
Au (0.0000, 0.0000, 0.5000)
Au (0.5000, 0.5000, 0.5000)
O (0.0859, 0.9141, 0.1934)
O (0.4141, 0.5859, 0.1934)
O (0.5859, 0.4141, 0.8066)
O (0.9141, 0.0859, 0.8066)

***

3.
The following is a DFT calculation (PBE) of a relaxed structure of Cs2LiAuO.

Summary:
Formation energy (no corrections)   -4.32 eV per formula unit
Space-group type   No. 123

Lattice parameters (Å, degrees): 6.2945 6.2945 3.7807 90.00 90.00 90.00
Sites, in units of the cell vectors:
Cs (0.0000, 0.5000, 0.0000)
Cs (0.5000, 0.0000, 0.0000)
Li (0.0000, 0.0000, 0.5000)
Au (0.5000, 0.5000, 0.5000)
O (0.0000, 0.0000, 0.0000)

***

4.
The following is a DFT calculation (PBE) of a relaxed structure of CsLiSbAu.

Summary:
Formation energy (no corrections)   -2.06 eV per formula unit
Space-group type   No. 160

Lattice parameters (Å, degrees): 4.8299 4.8299 19.7798 90.00 90.00 120.00
Sites, in units of the cell vectors:
Cs (0.0000, 0.0000, 0.0000)
Cs (0.3333, 0.6667, 0.6667)
Cs (0.6667, 0.3333, 0.3333)
Li (0.0000, 0.0000, 0.1744)
Li (0.3333, 0.6667, 0.8411)
Li (0.6667, 0.3333, 0.5078)
Sb (0.0000, 0.0000, 0.4851)
Sb (0.3333, 0.6667, 0.1517)
Sb (0.6667, 0.3333, 0.8184)
Au (0.0000, 0.0000, 0.8181)
Au (0.3333, 0.6667, 0.4847)
Au (0.6667, 0.3333, 0.1514)

***

5.
The following is a DFT calculation (PBE) of a relaxed structure of CsLiAuSe.

Summary:
Formation energy (no corrections)   -3.01 eV per formula unit
Space-group type   No. 129

Lattice parameters (Å, degrees): 4.0411 4.0411 13.9235 90.00 90.00 90.00
Sites, in units of the cell vectors:
Cs (0.2500, 0.2500, 0.2381)
Cs (0.7500, 0.7500, 0.7619)
Li (0.2500, 0.7500, 0.5000)
Li (0.7500, 0.2500, 0.5000)
Au (0.2500, 0.7500, 0.0000)
Au (0.7500, 0.2500, 0.0000)
Se (0.2500, 0.2500, 0.6121)
Se (0.7500, 0.7500, 0.3879)

***

6.
The following is a DFT calculation (PBE) of a relaxed structure of CsLi2Si2Au2.

Summary:
Formation energy (no corrections)   -2.49 eV per formula unit
Space-group type   No. 12

Lattice parameters (Å, degrees): 7.7809 4.4863 9.2083 90.00 106.07 90.00
Sites, in units of the cell vectors:
Cs (0.0000, 0.0000, 0.0000)
Cs (0.5000, 0.5000, 0.0000)
Li (0.1303, 0.0000, 0.3960)
Li (0.3697, 0.5000, 0.6040)
Li (0.6303, 0.5000, 0.3960)
Li (0.8697, 0.0000, 0.6040)
Si (0.0482, 0.5000, 0.6413)
Si (0.4518, 0.0000, 0.3587)
Si (0.5482, 0.0000, 0.6413)
Si (0.9518, 0.5000, 0.3587)
Au (0.2304, 0.0000, 0.6871)
Au (0.2696, 0.5000, 0.3129)
Au (0.7304, 0.5000, 0.6871)
Au (0.7696, 0.0000, 0.3129)

***

7.
The following is a DFT calculation (PBE) of a relaxed structure of Cs2LiSi2Au7.

Summary:
Formation energy (no corrections)   -3.16 eV per formula unit
Space-group type   No. 12

Lattice parameters (Å, degrees): 4.7339 4.7339 13.0441 90.24 90.24 90.00
Sites, in units of the cell vectors:
Cs (0.0038, 0.0038, 0.3550)
Cs (0.9962, 0.9962, 0.6450)
Li (0.0000, 0.0000, 0.0000)
Si (0.4950, 0.4950, 0.7958)
Si (0.5050, 0.5050, 0.2042)
Au (0.0032, 0.4997, 0.1344)
Au (0.4967, 0.4967, 0.6035)
Au (0.4997, 0.0032, 0.1344)
Au (0.5000, 0.5000, 0.0000)
Au (0.5003, 0.9968, 0.8656)
Au (0.5033, 0.5033, 0.3965)
Au (0.9968, 0.5003, 0.8656)

***

8.
The following is a DFT calculation (PBE) of a relaxed structure of CsSr2LiAu.

Summary:
Formation energy from the elements   -0.17 eV/atom
Space-group type   No. 123

Lattice parameters (Å, degrees): 6.2149 6.2149 5.8133 90.00 90.00 90.00
Sites, in units of the cell vectors:
Cs (0.0000, 0.0000, 0.0000)
Sr (0.0000, 0.5000, 0.5000)
Sr (0.5000, 0.0000, 0.5000)
Li (0.5000, 0.5000, 0.0000)
Au (0.5000, 0.5000, 0.5000)

***

9.
The following is a DFT calculation (PBE) of a relaxed structure of CsLiTl2Au.

Summary:
Formation energy from the elements   -0.06 eV/atom
Space-group type   No. 123

Lattice parameters (Å, degrees): 5.6617 5.6617 5.4851 90.00 90.00 90.00
Sites, in units of the cell vectors:
Cs (0.0000, 0.0000, 0.0000)
Li (0.5000, 0.5000, 0.0000)
Tl (0.0000, 0.5000, 0.5000)
Tl (0.5000, 0.0000, 0.5000)
Au (0.5000, 0.5000, 0.5000)

***

10.
The following is a DFT calculation (PBE) of a relaxed structure of CsLiTl2Au.

Summary:
Formation energy from the elements   -0.03 eV/atom
Space-group type   No. 123

Lattice parameters (Å, degrees): 5.4384 5.4384 5.3419 90.00 90.00 90.00
Sites, in units of the cell vectors:
Cs (0.0000, 0.0000, 0.0000)
Li (0.5000, 0.5000, 0.5000)
Tl (0.0000, 0.5000, 0.5000)
Tl (0.5000, 0.0000, 0.5000)
Au (0.5000, 0.5000, 0.0000)

***

11.
The following is a DFT calculation (PBE) of a relaxed structure of CsLiZrAu2.

Summary:
Formation energy from the elements   0.60 eV/atom
Space-group type   No. 123

Lattice parameters (Å, degrees): 4.9664 4.9664 4.8996 90.00 90.00 90.00
Sites, in units of the cell vectors:
Cs (0.0000, 0.0000, 0.0000)
Li (0.0000, 0.0000, 0.5000)
Zr (0.5000, 0.5000, 0.0000)
Au (0.0000, 0.5000, 0.5000)
Au (0.5000, 0.0000, 0.5000)

***

12.
The following is a DFT calculation (PBE) of a relaxed structure of CsLuAu2.

Summary:
Formation energy from the elements   -0.52 eV/atom
Space-group type   No. 123

Lattice parameters (Å, degrees): 3.7098 3.7098 8.5427 90.00 90.00 90.00
Sites, in units of the cell vectors:
Cs (0.0000, 0.0000, 0.0000)
Lu (0.0000, 0.0000, 0.5000)
Au (0.5000, 0.5000, 0.3292)
Au (0.5000, 0.5000, 0.6708)

***

13.
The following is a DFT calculation (PBE) of a relaxed structure of Cs2MgAu2.

Summary:
Formation energy from the elements   0.02 eV/atom
Space-group type   No. 127

Lattice parameters (Å, degrees): 10.1685 10.1685 4.1976 90.00 90.00 90.00
Sites, in units of the cell vectors:
Cs (0.1400, 0.3600, 0.0000)
Cs (0.3600, 0.8600, 0.0000)
Cs (0.6400, 0.1400, 0.0000)
Cs (0.8600, 0.6400, 0.0000)
Mg (0.0000, 0.0000, 0.0000)
Mg (0.5000, 0.5000, 0.0000)
Au (0.1582, 0.6582, 0.5000)
Au (0.3418, 0.1582, 0.5000)
Au (0.6582, 0.8418, 0.5000)
Au (0.8418, 0.3418, 0.5000)

***

14.
The following is a DFT calculation (PBE) of a relaxed structure of Cs12Mg3Au5.

Summary:
Formation energy from the elements   0.00 eV/atom
Space-group type   No. 230

Lattice parameters (Å, degrees): 19.4882 19.4882 19.4882 109.47 109.47 109.47
Sites, in units of the cell vectors:
Cs (0.0337, 0.2088, 0.1219)
Cs (0.0337, 0.3249, 0.9117)
Cs (0.0869, 0.7088, 0.6751)
Cs (0.0869, 0.8781, 0.4117)
Cs (0.0883, 0.6219, 0.4131)
Cs (0.0883, 0.9663, 0.6751)
Cs (0.1219, 0.0337, 0.2088)
Cs (0.1219, 0.5883, 0.9131)
Cs (0.1751, 0.2088, 0.5869)
Cs (0.1751, 0.4663, 0.5883)
Cs (0.2088, 0.1219, 0.0337)
Cs (0.2088, 0.5869, 0.1751)
Cs (0.2912, 0.3249, 0.9131)
Cs (0.2912, 0.4663, 0.3781)
Cs (0.3249, 0.9117, 0.0337)
Cs (0.3249, 0.9131, 0.2912)
Cs (0.3781, 0.2912, 0.4663)
Cs (0.3781, 0.5869, 0.9117)
Cs (0.4117, 0.0869, 0.8781)
Cs (0.4117, 0.8249, 0.5337)
Cs (0.4131, 0.0883, 0.6219)
Cs (0.4131, 0.8249, 0.7912)
Cs (0.4663, 0.3781, 0.2912)
Cs (0.4663, 0.5883, 0.1751)
Cs (0.5337, 0.4117, 0.8249)
Cs (0.5337, 0.6219, 0.7088)
Cs (0.5869, 0.1751, 0.2088)
Cs (0.5869, 0.9117, 0.3781)
Cs (0.5883, 0.1751, 0.4663)
Cs (0.5883, 0.9131, 0.1219)
Cs (0.6219, 0.4131, 0.0883)
Cs (0.6219, 0.7088, 0.5337)
Cs (0.6751, 0.0869, 0.7088)
Cs (0.6751, 0.0883, 0.9663)
Cs (0.7088, 0.5337, 0.6219)
Cs (0.7088, 0.6751, 0.0869)
Cs (0.7912, 0.4131, 0.8249)
Cs (0.7912, 0.8781, 0.9663)
Cs (0.8249, 0.5337, 0.4117)
Cs (0.8249, 0.7912, 0.4131)
Cs (0.8781, 0.4117, 0.0869)
Cs (0.8781, 0.9663, 0.7912)
Cs (0.9117, 0.0337, 0.3249)
Cs (0.9117, 0.3781, 0.5869)
Cs (0.9131, 0.1219, 0.5883)
Cs (0.9131, 0.2912, 0.3249)
Cs (0.9663, 0.6751, 0.0883)
Cs (0.9663, 0.7912, 0.8781)
Mg (0.1250, 0.2500, 0.3750)
Mg (0.1250, 0.3750, 0.7500)
Mg (0.2500, 0.3750, 0.1250)
Mg (0.2500, 0.8750, 0.6250)
Mg (0.3750, 0.1250, 0.2500)
Mg (0.3750, 0.7500, 0.1250)
Mg (0.6250, 0.2500, 0.8750)
Mg (0.6250, 0.8750, 0.7500)
Mg (0.7500, 0.1250, 0.3750)
Mg (0.7500, 0.6250, 0.8750)
Mg (0.8750, 0.6250, 0.2500)
Mg (0.8750, 0.7500, 0.6250)
Au (0.0000, 0.0000, 0.0000)
Au (0.0000, 0.0000, 0.5000)
Au (0.0000, 0.5000, 0.0000)
Au (0.0000, 0.5000, 0.5000)
Au (0.1250, 0.7500, 0.8750)
Au (0.1250, 0.8750, 0.2500)
Au (0.2500, 0.1250, 0.8750)
Au (0.2500, 0.6250, 0.3750)
Au (0.3750, 0.2500, 0.6250)
Au (0.3750, 0.6250, 0.7500)
Au (0.5000, 0.0000, 0.0000)
Au (0.5000, 0.0000, 0.5000)
Au (0.5000, 0.5000, 0.0000)
Au (0.5000, 0.5000, 0.5000)
Au (0.6250, 0.3750, 0.2500)
Au (0.6250, 0.7500, 0.3750)
Au (0.7500, 0.3750, 0.6250)
Au (0.7500, 0.8750, 0.1250)
Au (0.8750, 0.1250, 0.7500)
Au (0.8750, 0.2500, 0.1250)

***

15.
The following is a DFT calculation (PBE) of a relaxed structure of Cs4MgAu4.

Summary:
Formation energy from the elements   -0.26 eV/atom
Space-group type   No. 121

Lattice parameters (Å, degrees): 9.1124 9.1124 9.1124 131.55 131.55 70.94
Sites, in units of the cell vectors:
Cs (0.0724, 0.6489, 0.0000)
Cs (0.3511, 0.3511, 0.4235)
Cs (0.6489, 0.0724, 0.0000)
Cs (0.9276, 0.9276, 0.5765)
Mg (0.5000, 0.5000, 0.0000)
Au (0.1835, 0.1835, 0.5845)
Au (0.4010, 0.8165, 0.0000)
Au (0.5990, 0.5990, 0.4155)
Au (0.8165, 0.4010, 0.0000)

***

16.
The following is a DFT calculation (PBE) of a relaxed structure of CsMgAu2.

Summary:
Formation energy from the elements   -0.31 eV/atom
Space-group type   No. 123

Lattice parameters (Å, degrees): 3.6293 3.6293 8.1703 90.00 90.00 90.00
Sites, in units of the cell vectors:
Cs (0.0000, 0.0000, 0.0000)
Mg (0.0000, 0.0000, 0.5000)
Au (0.5000, 0.5000, 0.3281)
Au (0.5000, 0.5000, 0.6719)

***

17.
The following is a DFT calculation (PBE) of a relaxed structure of Cs2MgAu2.

Summary:
Formation energy from the elements   -0.15 eV/atom
Space-group type   No. 139

Lattice parameters (Å, degrees): 7.1509 7.1509 8.1147 90.00 90.00 90.00
Sites, in units of the cell vectors:
Cs (0.0000, 0.5000, 0.2500)
Cs (0.0000, 0.5000, 0.7500)
Cs (0.5000, 0.0000, 0.2500)
Cs (0.5000, 0.0000, 0.7500)
Mg (0.0000, 0.0000, 0.0000)
Mg (0.5000, 0.5000, 0.5000)
Au (0.0000, 0.0000, 0.3291)
Au (0.0000, 0.0000, 0.6709)
Au (0.5000, 0.5000, 0.1709)
Au (0.5000, 0.5000, 0.8291)

***

18.
The following is a DFT calculation (PBE) of a relaxed structure of CsMgAu2.

Summary:
Formation energy from the elements   0.05 eV/atom
Space-group type   No. 225

Lattice parameters (Å, degrees): 7.7488 7.7488 7.7488 90.00 90.00 90.00
Sites, in units of the cell vectors:
Cs (0.0000, 0.0000, 0.0000)
Cs (0.0000, 0.5000, 0.5000)
Cs (0.5000, 0.0000, 0.5000)
Cs (0.5000, 0.5000, 0.0000)
Mg (0.0000, 0.0000, 0.5000)
Mg (0.0000, 0.5000, 0.0000)
Mg (0.5000, 0.0000, 0.0000)
Mg (0.5000, 0.5000, 0.5000)
Au (0.2500, 0.2500, 0.2500)
Au (0.2500, 0.2500, 0.7500)
Au (0.2500, 0.7500, 0.2500)
Au (0.2500, 0.7500, 0.7500)
Au (0.7500, 0.2500, 0.2500)
Au (0.7500, 0.2500, 0.7500)
Au (0.7500, 0.7500, 0.2500)
Au (0.7500, 0.7500, 0.7500)

***

19.
The following is a DFT calculation (PBE) of a relaxed structure of Cs2MgAu2.

Summary:
Formation energy from the elements   -0.16 eV/atom
Space-group type   No. 127

Lattice parameters (Å, degrees): 7.9098 7.9098 5.6042 90.00 90.00 90.00
Sites, in units of the cell vectors:
Cs (0.1690, 0.3310, 0.0000)
Cs (0.3310, 0.8310, 0.0000)
Cs (0.6690, 0.1690, 0.0000)
Cs (0.8310, 0.6690, 0.0000)
Mg (0.0000, 0.0000, 0.5000)
Mg (0.5000, 0.5000, 0.5000)
Au (0.1396, 0.6396, 0.5000)
Au (0.3604, 0.1396, 0.5000)
Au (0.6396, 0.8604, 0.5000)
Au (0.8604, 0.3604, 0.5000)

***

20.
The following is a DFT calculation (PBE) of a relaxed structure of CsMg2Au.

Summary:
Formation energy from the elements   0.23 eV/atom
Space-group type   No. 225

Lattice parameters (Å, degrees): 7.8108 7.8108 7.8108 90.00 90.00 90.00
Sites, in units of the cell vectors:
Cs (0.0000, 0.0000, 0.0000)
Cs (0.0000, 0.5000, 0.5000)
Cs (0.5000, 0.0000, 0.5000)
Cs (0.5000, 0.5000, 0.0000)
Mg (0.2500, 0.2500, 0.2500)
Mg (0.2500, 0.2500, 0.7500)
Mg (0.2500, 0.7500, 0.2500)
Mg (0.2500, 0.7500, 0.7500)
Mg (0.7500, 0.2500, 0.2500)
Mg (0.7500, 0.2500, 0.7500)
Mg (0.7500, 0.7500, 0.2500)
Mg (0.7500, 0.7500, 0.7500)
Au (0.0000, 0.0000, 0.5000)
Au (0.0000, 0.5000, 0.0000)
Au (0.5000, 0.0000, 0.0000)
Au (0.5000, 0.5000, 0.5000)

***

21.
The following is a DFT calculation (PBE) of a relaxed structure of CsMgAu2.

Summary:
Formation energy from the elements   -0.39 eV/atom
Space-group type   No. 166

Lattice parameters (Å, degrees): 4.8156 4.8156 19.3339 90.00 90.00 120.00
Sites, in units of the cell vectors:
Cs (0.0000, 0.0000, 0.0000)
Cs (0.3333, 0.6667, 0.6667)
Cs (0.6667, 0.3333, 0.3333)
Mg (0.0000, 0.0000, 0.5000)
Mg (0.3333, 0.6667, 0.1667)
Mg (0.6667, 0.3333, 0.8333)
Au (0.0000, 0.0000, 0.1856)
Au (0.0000, 0.0000, 0.8144)
Au (0.3333, 0.6667, 0.4811)
Au (0.3333, 0.6667, 0.8522)
Au (0.6667, 0.3333, 0.1478)
Au (0.6667, 0.3333, 0.5189)

***

22.
The following is a DFT calculation (PBE) of a relaxed structure of Cs2MgAu2.

Summary:
Formation energy from the elements   0.11 eV/atom
Space-group type   No. 139

Lattice parameters (Å, degrees): 6.5872 6.5872 12.5039 90.00 90.00 90.00
Sites, in units of the cell vectors:
Cs (0.0000, 0.0000, 0.1613)
Cs (0.0000, 0.0000, 0.8387)
Cs (0.5000, 0.5000, 0.3387)
Cs (0.5000, 0.5000, 0.6613)
Mg (0.0000, 0.0000, 0.5000)
Mg (0.5000, 0.5000, 0.0000)
Au (0.0000, 0.5000, 0.2500)
Au (0.0000, 0.5000, 0.7500)
Au (0.5000, 0.0000, 0.2500)
Au (0.5000, 0.0000, 0.7500)

***

23.
The following is a DFT calculation (PBE) of a relaxed structure of CsMg2Au.

Summary:
Formation energy from the elements   -0.05 eV/atom
Space-group type   No. 122

Lattice parameters (Å, degrees): 6.6849 6.6849 15.8590 90.00 90.00 90.00
Sites, in units of the cell vectors:
Cs (0.0000, 0.0000, 0.0000)
Cs (0.0000, 0.5000, 0.2500)
Cs (0.5000, 0.0000, 0.7500)
Cs (0.5000, 0.5000, 0.5000)
Mg (0.0010, 0.2500, 0.6250)
Mg (0.2500, 0.5010, 0.8750)
Mg (0.2500, 0.9990, 0.3750)
Mg (0.4990, 0.2500, 0.1250)
Mg (0.5010, 0.7500, 0.1250)
Mg (0.7500, 0.0010, 0.3750)
Mg (0.7500, 0.4990, 0.8750)
Mg (0.9990, 0.7500, 0.6250)
Au (0.0000, 0.0000, 0.5000)
Au (0.0000, 0.5000, 0.7500)
Au (0.5000, 0.0000, 0.2500)
Au (0.5000, 0.5000, 0.0000)